An optimized crystal structure of AcNi2GeO6. Source: Alexandria via LeMat-Bulk, functional PBE with a Hubbard U.

Values from the calculation:
crystal system	trigonal
raw total energy	-6.05	eV/atom
volume	348.9	Å³ per cell
Fermi-level density of states	2.13	states/eV/f.u.

Lattice parameters (Å, degrees): 5.3033 5.3033 14.3258 90.00 90.00 120.00
Space group R3 (No. 146, hexagonal axes)
Asymmetric unit:
Ac (0.0000, 0.0000, 0.0000) x3
Ni (0.0000, 0.0000, 0.2588) x3
Ni (0.0000, 0.0000, 0.7745) x3
Ge (0.0000, 0.0000, 0.4615) x3
O (0.0018, 0.3317, 0.5200) x9
O (0.0252, 0.5663, 0.0340) x9